Record 1
DFT (PBE) results for a relaxed structure of Sm4CdAgRu2.

Unit cell a=5.0847 b=5.0847 c=8.8755 alpha=73.35 beta=73.35 gamma=60.00
Closest atoms and distances in Å follow each position.
Sites, in units of the cell vectors:
Sm (0.3774, 0.3774, 0.8679)  1 Ag 3.08, 4 Ru 3.09-3.17, 3 Cd 3.14
Sm (0.6226, 0.6226, 0.1321)  1 Ag 3.08, 4 Ru 3.09-3.17, 3 Cd 3.14
Sm (0.8738, 0.8738, 0.3786)  3 Ag 3.11, 4 Ru 3.14, 1 Cd 3.17
Sm (0.1262, 0.1262, 0.6214)  3 Ag 3.11, 4 Ru 3.14, 1 Cd 3.17
Ag (0.5000, 0.5000, 0.5000)  8 Sm 3.08-3.11
Ru (0.2511, 0.2511, 0.2467)  8 Sm 3.09-3.17
Ru (0.7489, 0.7489, 0.7533)  8 Sm 3.09-3.17
Cd (0.0000, 0.0000, 0.0000)  8 Sm 3.14-3.17

formation energy: -1.8 eV/f.u.
space-group type: R-3m

Record 2
DFT (PBE) results for a relaxed structure of Sm3Cu5O12.

Unit cell a=10.8173 b=10.8173 c=10.8173 alpha=109.47 beta=109.47 gamma=109.47
Closest atoms and distances in Å follow each position.
Sites, in units of the cell vectors:
O (0.9216, 0.0946, 0.6213)  2 Cu 1.90-1.98
O (0.8003, 0.4733, 0.3787)  2 Cu 1.90-1.98
O (0.5946, 0.9733, 0.6730)  2 Cu 1.90-1.98
O (0.8270, 0.9216, 0.3003)  2 Cu 1.90-1.98
O (0.1730, 0.0946, 0.9733)  2 Cu 1.90-1.98
O (0.4733, 0.6730, 0.0946)  2 Cu 1.90-1.98
O (0.5267, 0.1997, 0.1213)  2 Cu 1.90-1.98
O (0.3270, 0.5267, 0.4054)  2 Cu 1.90-1.98
O (0.9733, 0.5946, 0.1730)  2 Cu 1.90-1.98
O (0.5784, 0.8787, 0.4054)  2 Cu 1.90-1.98
O (0.0946, 0.9216, 0.1213)  2 Cu 1.90-1.98
O (0.5267, 0.3270, 0.9054)  2 Cu 1.90-1.98
O (0.0784, 0.9054, 0.3787)  2 Cu 1.90-1.98
O (0.6730, 0.1997, 0.5784)  2 Cu 1.90-1.98
O (0.3270, 0.8003, 0.4216)  2 Cu 1.90-1.98
O (0.4054, 0.3787, 0.5784)  2 Cu 1.90-1.98
O (0.4216, 0.3003, 0.3270)  2 Cu 1.90-1.98
O (0.9733, 0.3787, 0.3003)  2 Cu 1.90-1.98
O (0.6730, 0.4733, 0.5946)  2 Cu 1.90-1.98
O (0.0267, 0.4054, 0.8270)  2 Cu 1.90-1.98
O (0.3003, 0.8787, 0.9733)  2 Cu 1.90-1.98
O (0.4216, 0.1213, 0.5946)  2 Cu 1.90-1.98
O (0.1213, 0.6997, 0.5267)  2 Cu 1.90-1.98
O (0.5946, 0.6213, 0.4216)  2 Cu 1.90-1.98
O (0.9216, 0.8270, 0.8003)  2 Cu 1.90-1.98
O (0.3003, 0.4216, 0.8270)  2 Cu 1.90-1.98
O (0.6997, 0.5784, 0.1730)  2 Cu 1.90-1.98
O (0.1997, 0.6730, 0.0784)  2 Cu 1.90-1.98
O (0.9054, 0.8270, 0.5267)  2 Cu 1.90-1.98
O (0.0946, 0.1730, 0.4733)  2 Cu 1.90-1.98
O (0.6997, 0.1213, 0.0267)  2 Cu 1.90-1.98
O (0.8003, 0.3270, 0.9216)  2 Cu 1.90-1.98
O (0.3787, 0.9733, 0.8003)  2 Cu 1.90-1.98
O (0.6213, 0.5946, 0.9216)  2 Cu 1.90-1.98
O (0.0784, 0.1730, 0.1997)  2 Cu 1.90-1.98
O (0.6213, 0.0267, 0.1997)  2 Cu 1.90-1.98
O (0.4054, 0.0267, 0.3270)  2 Cu 1.90-1.98
O (0.8270, 0.9054, 0.0267)  2 Cu 1.90-1.98
O (0.5784, 0.6997, 0.6730)  2 Cu 1.90-1.98
O (0.0267, 0.6213, 0.6997)  2 Cu 1.90-1.98
O (0.1997, 0.5267, 0.6213)  2 Cu 1.90-1.98
O (0.1213, 0.4216, 0.0946)  2 Cu 1.90-1.98
O (0.3787, 0.4054, 0.0784)  2 Cu 1.90-1.98
O (0.4733, 0.8003, 0.8787)  2 Cu 1.90-1.98
O (0.1730, 0.0784, 0.6997)  2 Cu 1.90-1.98
O (0.9054, 0.0784, 0.8787)  2 Cu 1.90-1.98
O (0.8787, 0.3003, 0.4733)  2 Cu 1.90-1.98
O (0.8787, 0.5784, 0.9054)  2 Cu 1.90-1.98
Sm (0.8750, 0.7500, 0.1250)  8 O 2.37-2.50
Sm (0.7500, 0.3750, 0.1250)  8 O 2.37-2.50
Sm (0.8750, 0.1250, 0.2500)  8 O 2.37-2.50
Sm (0.3750, 0.7500, 0.6250)  8 O 2.37-2.50
Sm (0.7500, 0.8750, 0.6250)  8 O 2.37-2.50
Sm (0.2500, 0.1250, 0.3750)  8 O 2.37-2.50
Sm (0.6250, 0.3750, 0.7500)  8 O 2.37-2.50
Sm (0.6250, 0.2500, 0.3750)  8 O 2.37-2.50
Sm (0.2500, 0.6250, 0.8750)  8 O 2.37-2.50
Sm (0.1250, 0.8750, 0.7500)  8 O 2.37-2.50
Sm (0.3750, 0.6250, 0.2500)  8 O 2.37-2.50
Sm (0.1250, 0.2500, 0.8750)  8 O 2.37-2.50
Cu (0.6250, 0.7500, 0.8750)  4 O 1.90
Cu (0.2500, 0.3750, 0.6250)  4 O 1.90
Cu (0.0000, 0.5000, 0.0000)  6 O 1.98
Cu (0.3750, 0.2500, 0.1250)  4 O 1.90
Cu (0.0000, 0.5000, 0.5000)  6 O 1.98
Cu (0.8750, 0.2500, 0.6250)  4 O 1.90
Cu (0.5000, 0.0000, 0.0000)  6 O 1.98
Cu (0.8750, 0.6250, 0.7500)  4 O 1.90
Cu (0.1250, 0.3750, 0.2500)  4 O 1.90
Cu (0.5000, 0.0000, 0.5000)  6 O 1.98
Cu (0.5000, 0.5000, 0.5000)  6 O 1.98
Cu (0.7500, 0.6250, 0.3750)  4 O 1.90
Cu (0.0000, 0.0000, 0.5000)  6 O 1.98
Cu (0.5000, 0.5000, 0.0000)  6 O 1.98
Cu (0.6250, 0.8750, 0.2500)  4 O 1.90
Cu (0.7500, 0.1250, 0.8750)  4 O 1.90
Cu (0.0000, 0.0000, 0.0000)  6 O 1.98
Cu (0.3750, 0.1250, 0.7500)  4 O 1.90
Cu (0.2500, 0.8750, 0.1250)  4 O 1.90
Cu (0.1250, 0.7500, 0.3750)  4 O 1.90

ΔE_f (raw): -30.1 eV/f.u.
space-group type: Ia-3d

Record 3
DFT (PBE) results for a relaxed structure of RbSbO2.

Unit cell a=7.7313 b=7.7313 c=7.7313 alpha=27.02 beta=27.02 gamma=27.02
Closest atoms and distances in Å follow each position.
Sites, in units of the cell vectors:
O (0.8836, 0.8836, 0.8836)  3 Sb 2.37, 1 Rb 2.60
O (0.1164, 0.1164, 0.1164)  3 Sb 2.37, 1 Rb 2.60
Sb (0.5000, 0.5000, 0.5000)  6 O 2.37
Rb (0.0000, 0.0000, 0.0000)  2 O 2.60

ΔE_f (raw): -3.6 eV/f.u.
space-group type: R-3m

Record 4
DFT (PBE) results for a relaxed structure of ThBi2Sb.

Unit cell a=3.4113 b=3.4113 c=12.9017 alpha=82.40 beta=82.40 gamma=60.00
Closest atoms and distances in Å follow each position.
Sites, in units of the cell vectors:
Bi (0.0876, 0.0876, 0.7373)  1 Th 3.35, 6 Bi 3.41, 3 Sb 3.61
Bi (0.9124, 0.9124, 0.2627)  1 Th 3.35, 6 Bi 3.41, 3 Sb 3.61
Sb (0.5000, 0.5000, 0.5000)  6 Sb 3.41, 6 Bi 3.61
Th (0.0000, 0.0000, 0.0000)  2 Bi 3.35, 6 Th 3.41

ΔE_f (raw): 1.2 eV/f.u.
space-group type: R-3m

Record 5
DFT (PBE) results for a relaxed structure of DyIn3.

Unit cell a=4.6366 b=4.6367 c=4.6353 alpha=90.00 beta=90.00 gamma=90.00
Closest atoms and distances in Å follow each position.
Sites, in units of the cell vectors:
In (0.0000, 0.0000, 0.9166)  8 In 3.28, 4 Dy 3.28
In (0.5000, 0.5000, 0.9166)  8 In 3.28, 4 Dy 3.28
In (0.5000, 0.0000, 0.4169)  8 In 3.28, 4 Dy 3.28
Dy (0.0000, 0.5000, 0.4165)  12 In 3.28

formation energy: -1.7 eV/f.u.
space-group type: Pm-3m

Record 6
DFT (PBE) results for a relaxed structure of Tb3CuIr2.

Unit cell a=4.1537 b=11.1430 c=11.3907 alpha=90.00 beta=90.00 gamma=90.00
Closest atoms and distances in Å follow each position.
Sites, in units of the cell vectors:
Ir (0.7500, 0.3120, 0.5154)  2 Cu 2.55
Ir (0.2500, 0.0001, 0.3171)  1 Cu 2.55
Ir (0.7500, 0.5001, 0.1829)  1 Cu 2.55
Ir (0.7500, 0.1880, 0.0154)  2 Cu 2.55
Ir (0.2500, 0.4999, 0.8171)  1 Cu 2.55
Ir (0.7500, 0.9999, 0.6829)  1 Cu 2.55
Ir (0.2500, 0.8120, 0.9846)  2 Cu 2.55
Ir (0.2500, 0.6880, 0.4846)  2 Cu 2.55
Tb (0.2500, 0.0655, 0.8794)  3 Cu 2.91-2.96, 5 Ir 2.93-3.14
Tb (0.7500, 0.8769, 0.4511)  5 Ir 2.92-2.98, 1 Cu 2.96
Tb (0.7500, 0.9345, 0.1206)  3 Cu 2.91-2.96, 5 Ir 2.93-3.14
Tb (0.7500, 0.3145, 0.7953)  4 Ir 2.88-3.19, 2 Cu 2.90
Tb (0.7500, 0.1855, 0.2953)  4 Ir 2.88-3.19, 2 Cu 2.90
Tb (0.2500, 0.1231, 0.5489)  5 Ir 2.92-2.98, 1 Cu 2.96
Tb (0.7500, 0.5655, 0.6206)  3 Cu 2.91-2.96, 5 Ir 2.93-3.14
Tb (0.2500, 0.8145, 0.7047)  4 Ir 2.88-3.19, 2 Cu 2.90
Tb (0.2500, 0.6855, 0.2047)  4 Ir 2.88-3.19, 2 Cu 2.90
Tb (0.7500, 0.6231, 0.9511)  5 Ir 2.92-2.98, 1 Cu 2.96
Tb (0.2500, 0.4345, 0.3794)  3 Cu 2.91-2.96, 5 Ir 2.93-3.14
Tb (0.2500, 0.3769, 0.0489)  5 Ir 2.92-2.98, 1 Cu 2.96
Cu (0.2500, 0.1237, 0.1285)  3 Ir 2.55
Cu (0.7500, 0.6237, 0.3715)  3 Ir 2.55
Cu (0.2500, 0.3763, 0.6285)  3 Ir 2.55
Cu (0.7500, 0.8763, 0.8715)  3 Ir 2.55

formation energy: -4.0 eV/f.u.
space-group type: Pnma

Record 7
DFT (PBE) results for a relaxed structure of TlCuTe2.

Unit cell a=6.5910 b=6.0963 c=6.2748 alpha=112.30 beta=90.00 gamma=89.99
Closest atoms and distances in Å follow each position.
Sites, in units of the cell vectors:
Cu (0.8946, 0.8781, 0.2179)  1 Cu 2.62, 4 Te 2.66-2.68
Cu (0.4965, 0.8777, 0.2176)  1 Cu 2.62, 4 Te 2.66-2.68
Te (0.1955, 0.1149, 0.1203)  2 Cu 2.66, 1 Te 2.96
Te (0.6954, 0.0569, 0.6197)  2 Cu 2.68, 1 Te 2.89
Te (0.6956, 0.6972, 0.8158)  2 Cu 2.68, 1 Te 2.89
Te (0.1955, 0.6395, 0.3145)  2 Cu 2.66, 1 Te 2.96
Tl (0.1955, 0.3770, 0.7175)  8 Te 3.46-3.76
Tl (0.6955, 0.3773, 0.2179)  4 Cu 3.31-3.32, 6 Te 3.51-3.61

ΔE_f (raw): -0.5 eV/f.u.
space-group type: P2/m

Record 8
DFT (PBE) results for a relaxed structure of TiV2Cu.

Unit cell a=4.1026 b=3.6845 c=3.6845 alpha=90.00 beta=90.00 gamma=90.00
Closest atoms and distances in Å follow each position.
Sites, in units of the cell vectors:
Cu (0.5000, 0.0000, 0.0000)  4 Ti 2.61, 8 V 2.76
V (0.0000, 0.0000, 0.5000)  4 V 2.61, 4 Cu 2.76, 4 Ti 2.76
V (0.0000, 0.5000, 0.0000)  4 V 2.61, 4 Cu 2.76, 4 Ti 2.76
Ti (0.5000, 0.5000, 0.5000)  4 Cu 2.61, 8 V 2.76

formation energy: 0.4 eV/f.u.
space-group type: P4/mmm

Record 9
DFT (PBE) results for a relaxed structure of PuHfTcAg.

Unit cell a=4.8304 b=4.8304 c=4.8304 alpha=60.00 beta=60.00 gamma=60.00
Closest atoms and distances in Å follow each position.
Sites, in units of the cell vectors:
Tc (0.7500, 0.7500, 0.7500)  4 Pu 2.96, 4 Hf 2.96
Pu (0.5000, 0.5000, 0.5000)  4 Ag 2.96, 4 Tc 2.96
Hf (0.0000, 0.0000, 0.0000)  4 Tc 2.96, 4 Ag 2.96
Ag (0.2500, 0.2500, 0.2500)  4 Hf 2.96, 4 Pu 2.96

formation energy: 0.2 eV/f.u.
space-group type: F-43m

Record 10
DFT (PBE) results for a relaxed structure of SrNb4N6.

Unit cell a=3.1472 b=5.4741 c=16.2338 alpha=90.00 beta=90.00 gamma=106.71
Closest atoms and distances in Å follow each position.
Sites, in units of the cell vectors:
Nb (0.3943, 0.7886, 0.3681)  5 N 1.98-2.18
Nb (0.8600, 0.7200, 0.5446)  5 N 2.04-2.27
Nb (0.8600, 0.7200, 0.9554)  5 N 2.04-2.27
Nb (0.6057, 0.2114, 0.6319)  5 N 1.98-2.18
Nb (0.6057, 0.2114, 0.8681)  5 N 1.98-2.18
Nb (0.1400, 0.2800, 0.4554)  5 N 2.04-2.27
Nb (0.1400, 0.2800, 0.0446)  5 N 2.04-2.27
Nb (0.3943, 0.7886, 0.1319)  5 N 1.98-2.18
N (0.9685, 0.9369, 0.6492)  3 Nb 2.04-2.15
N (0.0315, 0.0631, 0.3508)  3 Nb 2.04-2.15
N (0.2325, 0.4650, 0.9113)  5 Nb 2.18-2.37
N (0.6519, 0.3037, 0.7500)  2 Nb 1.98
N (0.3481, 0.6963, 0.2500)  2 Nb 1.98
N (0.5000, 0.0000, 0.0000)  6 Nb 2.27-2.41
N (0.7675, 0.5350, 0.4113)  5 Nb 2.18-2.37
N (0.2325, 0.4650, 0.5887)  5 Nb 2.18-2.37
N (0.5000, 0.0000, 0.5000)  6 Nb 2.27-2.41
N (0.7675, 0.5350, 0.0887)  5 Nb 2.18-2.37
N (0.9685, 0.9369, 0.8508)  3 Nb 2.04-2.15
N (0.0315, 0.0631, 0.1492)  3 Nb 2.04-2.15
Sr (0.3481, 0.6961, 0.7500)  8 N 2.59-2.89
Sr (0.6519, 0.3039, 0.2500)  8 N 2.59-2.89

ΔE_f (raw): -10.5 eV/f.u.
space-group type: Cmcm

no.,magnetic moment (μB per formula unit),calculated volume (A^3/atom)
1,0.0,23.44
2,1.5,12.18
3,0.0,21.03
4,0.0,32.12
5,0.0,24.91
6,0.0,21.97
7,0.0,29.16
8,0.0,13.92
9,5.5,19.92
10,0.0,12.18